## a
! Tl2V2As GGA-PBE optimized geometry; values from VASP
! Mass density in Mg/m³: 9.33
! Total magnetic moment in μB/f.u.: 0.0
&SYSTEM
  ibrav = 0, nat = 5, ntyp = 3
/
ATOMIC_SPECIES
Tl 204.38 Tl.upf
V 50.94 V.upf
As 74.92 As.upf
CELL_PARAMETERS angstrom
-1.7008 1.7008 9.0027
1.7008 -1.7008 9.0027
1.7008 1.7008 -9.0027
ATOMIC_POSITIONS crystal
Tl 0.1100 0.1100 0.0000
Tl 0.8900 0.8900 0.0000
V 0.2500 0.7500 0.5000
V 0.7500 0.2500 0.5000
As 0.5000 0.5000 0.0000


## b
! Tl2V2As GGA-PBE optimized geometry; values from VASP
! Mass density in Mg/m³: 9.16
! Total magnetic moment in μB/f.u.: 0.0
&SYSTEM
  ibrav = 0, nat = 10, ntyp = 3
/
ATOMIC_SPECIES
Tl 204.38 Tl.upf
V 50.94 V.upf
As 74.92 As.upf
CELL_PARAMETERS angstrom
8.2628 0.0000 0.0000
0.0000 8.2628 0.0000
0.0000 0.0000 3.1105
ATOMIC_POSITIONS crystal
Tl 0.2060 0.2940 0.0000
Tl 0.2940 0.7940 0.0000
Tl 0.7060 0.2060 0.0000
Tl 0.7940 0.7060 0.0000
V 0.0830 0.5830 0.5000
V 0.4170 0.0830 0.5000
V 0.5830 0.9170 0.5000
V 0.9170 0.4170 0.5000
As 0.0000 0.0000 0.0000
As 0.5000 0.5000 0.0000


Which is most stable, and by how much? a, by 0.043 eV/atom.


## a
! TlV3As GGA-PBE optimized geometry; values from VASP
! Mass density in Mg/m³: 5.66
! Total magnetic moment in μB/f.u.: 7.4
&SYSTEM
  ibrav = 0, nat = 5, ntyp = 3
/
ATOMIC_SPECIES
Tl 204.38 Tl.upf
V 50.94 V.upf
As 74.92 As.upf
CELL_PARAMETERS angstrom
5.0243 0.0000 0.0000
0.0000 5.0243 0.0000
0.0000 0.0000 5.0243
ATOMIC_POSITIONS crystal
Tl 0.0000 0.0000 0.0000
V 0.0000 0.0000 0.5000
V 0.0000 0.5000 0.0000
V 0.5000 0.0000 0.0000
As 0.5000 0.5000 0.5000


## b
! TlV3As GGA-PBE optimized geometry; values from VASP
! Mass density in Mg/m³: 7.30
! Total magnetic moment in μB/f.u.: 5.1
&SYSTEM
  ibrav = 0, nat = 5, ntyp = 3
/
ATOMIC_SPECIES
Tl 204.38 Tl.upf
V 50.94 V.upf
As 74.92 As.upf
CELL_PARAMETERS angstrom
4.6143 0.0000 0.0000
0.0000 4.6143 0.0000
0.0000 0.0000 4.6143
ATOMIC_POSITIONS crystal
Tl 0.0000 0.0000 0.0000
V 0.0000 0.5000 0.5000
V 0.5000 0.0000 0.5000
V 0.5000 0.5000 0.0000
As 0.5000 0.5000 0.5000


Which is most stable, and by how much? b, by 1.108 eV/atom.


## a
! TlVAs GGA-PBE optimized geometry; values from VASP
! Mass density in Mg/m³: 7.84
! Total magnetic moment in μB/f.u.: 0.0
&SYSTEM
  ibrav = 0, nat = 6, ntyp = 3
/
ATOMIC_SPECIES
Tl 204.38 Tl.upf
V 50.94 V.upf
As 74.92 As.upf
CELL_PARAMETERS angstrom
3.8416 0.0000 0.0000
0.0000 3.8416 0.0000
0.0000 0.0000 9.4786
ATOMIC_POSITIONS crystal
Tl 0.2500 0.2500 0.1608
Tl 0.7500 0.7500 0.8392
V 0.2500 0.7500 0.5000
V 0.7500 0.2500 0.5000
As 0.2500 0.2500 0.6720
As 0.7500 0.7500 0.3280


## b
! TlVAs GGA-PBE optimized geometry; values from VASP
! Mass density in Mg/m³: 7.79
! Total magnetic moment in μB/f.u.: 0.0
&SYSTEM
  ibrav = 0, nat = 6, ntyp = 3
/
ATOMIC_SPECIES
Tl 204.38 Tl.upf
V 50.94 V.upf
As 74.92 As.upf
CELL_PARAMETERS angstrom
6.2508 -2.2990 0.0000
6.2508 2.2990 0.0000
-2.2918 0.0000 4.8962
ATOMIC_POSITIONS crystal
Tl 0.1145 0.1145 0.3663
Tl 0.8855 0.8855 0.6337
V 0.1775 0.1775 0.9283
V 0.8225 0.8225 0.0717
As 0.3886 0.3886 0.1383
As 0.6114 0.6114 0.8617


Which is most stable, and by how much? a, by 0.200 eV/atom.


## a
! TlAsW2 GGA-PBE optimized geometry; values from VASP
! Mass density in Mg/m³: 15.16
! Total magnetic moment in μB/f.u.: 0.0
&SYSTEM
  ibrav = 0, nat = 4, ntyp = 3
/
ATOMIC_SPECIES
Tl 204.38 Tl.upf
As 74.92 As.upf
W 183.84 W.upf
CELL_PARAMETERS angstrom
1.5200 0.8776 8.8554
-1.5200 0.8776 8.8554
0.0000 -1.7551 8.8554
ATOMIC_POSITIONS crystal
Tl 0.0000 0.0000 0.0000
As 0.5000 0.5000 0.5000
W 0.2403 0.2403 0.2403
W 0.7597 0.7597 0.7597


## b
! TlAsW2 GGA-PBE optimized geometry; values from VASP
! Mass density in Mg/m³: 14.38
! Total magnetic moment in μB/f.u.: 0.0
&SYSTEM
  ibrav = 0, nat = 4, ntyp = 3
/
ATOMIC_SPECIES
Tl 204.38 Tl.upf
As 74.92 As.upf
W 183.84 W.upf
CELL_PARAMETERS angstrom
3.0859 0.0000 0.0000
0.0000 4.6368 0.0000
-1.5420 0.0000 5.2199
ATOMIC_POSITIONS crystal
Tl 0.0000 0.0000 0.0000
As 0.3644 0.5000 0.7345
W 0.2645 0.0000 0.5218
W 0.6690 0.5000 0.3422


Which is most stable, and by how much? b, by 0.082 eV/atom.


## a
! TlAsW2 GGA-PBE optimized geometry; values from VASP
! Mass density in Mg/m³: 15.52
! Total magnetic moment in μB/f.u.: 0.0
&SYSTEM
  ibrav = 0, nat = 4, ntyp = 3
/
ATOMIC_SPECIES
Tl 204.38 Tl.upf
As 74.92 As.upf
W 183.84 W.upf
CELL_PARAMETERS angstrom
4.6244 0.0000 0.0000
0.0000 4.6244 0.0000
0.0000 0.0000 3.2371
ATOMIC_POSITIONS crystal
Tl 0.0000 0.0000 0.0000
As 0.5000 0.5000 0.0000
W 0.0000 0.5000 0.5000
W 0.5000 0.0000 0.5000


## b
! TlAsW2 GGA-PBE optimized geometry; values from VASP
! Mass density in Mg/m³: 14.79
! Total magnetic moment in μB/f.u.: 0.0
&SYSTEM
  ibrav = 0, nat = 4, ntyp = 3
/
ATOMIC_SPECIES
Tl 204.38 Tl.upf
As 74.92 As.upf
W 183.84 W.upf
CELL_PARAMETERS angstrom
1.5536 -2.5878 0.0000
1.5536 2.5878 0.0000
0.0000 0.0000 9.0328
ATOMIC_POSITIONS crystal
Tl 0.0000 0.0000 0.0000
As 0.0000 0.0000 0.5000
W 0.5000 0.5000 0.2782
W 0.5000 0.5000 0.7218


Which is most stable, and by how much? b, by 0.130 eV/atom.


## a
! TlAsW2 GGA-PBE optimized geometry; values from VASP
! Mass density in Mg/m³: 14.75
! Total magnetic moment in μB/f.u.: 0.0
&SYSTEM
  ibrav = 0, nat = 4, ntyp = 3
/
ATOMIC_SPECIES
Tl 204.38 Tl.upf
As 74.92 As.upf
W 183.84 W.upf
CELL_PARAMETERS angstrom
-1.5344 2.5942 4.5732
1.5344 -2.5942 4.5732
1.5344 2.5942 -4.5732
ATOMIC_POSITIONS crystal
Tl 0.0000 0.0000 0.0000
As 0.5000 0.5000 0.0000
W 0.2819 0.7819 0.5000
W 0.7181 0.2181 0.5000


## b
! TlAsW2 GGA-PBE optimized geometry; values from VASP
! Mass density in Mg/m³: 15.03
! Total magnetic moment in μB/f.u.: 0.0
&SYSTEM
  ibrav = 0, nat = 4, ntyp = 3
/
ATOMIC_SPECIES
Tl 204.38 Tl.upf
As 74.92 As.upf
W 183.84 W.upf
CELL_PARAMETERS angstrom
3.1758 0.0000 0.0000
0.0000 3.1758 0.0000
0.0000 0.0000 7.0855
ATOMIC_POSITIONS crystal
Tl 0.0000 0.0000 0.0000
As 0.0000 0.0000 0.5000
W 0.5000 0.5000 0.3072
W 0.5000 0.5000 0.6928


## c
! TlAsW2 GGA-PBE optimized geometry; values from VASP
! Mass density in Mg/m³: 14.50
! Total magnetic moment in μB/f.u.: 0.0
&SYSTEM
  ibrav = 0, nat = 4, ntyp = 3
/
ATOMIC_SPECIES
Tl 204.38 Tl.upf
As 74.92 As.upf
W 183.84 W.upf
CELL_PARAMETERS angstrom
4.0008 0.0000 0.0000
0.0000 4.0008 0.0000
0.0000 0.0000 4.6306
ATOMIC_POSITIONS crystal
Tl 0.0000 0.0000 0.0000
As 0.5000 0.5000 0.0000
W 0.0000 0.5000 0.5000
W 0.5000 0.0000 0.5000


Which is most stable, and by how much? b, by 0.141 eV/atom.


## a
! TlAsW2 GGA-PBE optimized geometry; values from VASP
! Mass density in Mg/m³: 12.31
! Total magnetic moment in μB/f.u.: 0.0
&SYSTEM
  ibrav = 0, nat = 4, ntyp = 3
/
ATOMIC_SPECIES
Tl 204.38 Tl.upf
As 74.92 As.upf
W 183.84 W.upf
CELL_PARAMETERS angstrom
4.2410 -1.6124 0.0000
4.2410 1.6124 0.0000
-1.2108 0.0000 6.3798
ATOMIC_POSITIONS crystal
Tl 0.0000 0.0000 0.0000
As 0.2299 0.2299 0.6156
W 0.4839 0.4839 0.4650
W 0.7667 0.7667 0.2949


## b
! TlAsW2 GGA-PBE optimized geometry; values from VASP
! Mass density in Mg/m³: 13.62
! Total magnetic moment in μB/f.u.: 0.0
&SYSTEM
  ibrav = 0, nat = 4, ntyp = 3
/
ATOMIC_SPECIES
Tl 204.38 Tl.upf
As 74.92 As.upf
W 183.84 W.upf
CELL_PARAMETERS angstrom
4.5234 -1.6031 0.0000
4.5234 1.6031 0.0000
-1.5839 0.0000 5.4371
ATOMIC_POSITIONS crystal
Tl 0.0000 0.0000 0.0000
As 0.5000 0.5000 0.5000
W 0.2367 0.2367 0.6676
W 0.7633 0.7633 0.3324


Which is most stable, and by how much? a, by 0.079 eV/atom.


## a
! TlAsW GGA-PBE optimized geometry; values from VASP
! Mass density in Mg/m³: 11.91
! Total magnetic moment in μB/f.u.: 0.0
&SYSTEM
  ibrav = 0, nat = 3, ntyp = 3
/
ATOMIC_SPECIES
Tl 204.38 Tl.upf
As 74.92 As.upf
W 183.84 W.upf
CELL_PARAMETERS angstrom
0.0000 3.1843 3.1843
3.1843 0.0000 3.1843
3.1843 3.1843 0.0000
ATOMIC_POSITIONS crystal
Tl 0.0000 0.0000 0.0000
As 0.7500 0.7500 0.7500
W 0.5000 0.5000 0.5000


## b
! TlAsW GGA-PBE optimized geometry; values from VASP
! Mass density in Mg/m³: 13.03
! Total magnetic moment in μB/f.u.: 0.0
&SYSTEM
  ibrav = 0, nat = 3, ntyp = 3
/
ATOMIC_SPECIES
Tl 204.38 Tl.upf
As 74.92 As.upf
W 183.84 W.upf
CELL_PARAMETERS angstrom
-1.6611 1.6611 5.3475
1.6611 -1.6611 5.3475
1.6611 1.6611 -5.3475
ATOMIC_POSITIONS crystal
Tl 0.0000 0.0000 0.0000
As 0.2965 0.2965 0.0000
W 0.6948 0.6948 0.0000


Which is most stable, and by how much? b, by 0.674 eV/atom.


## a
! TlAsW GGA-PBE optimized geometry; values from VASP
! Mass density in Mg/m³: 11.26
! Total magnetic moment in μB/f.u.: 0.0
&SYSTEM
  ibrav = 0, nat = 3, ntyp = 3
/
ATOMIC_SPECIES
Tl 204.38 Tl.upf
As 74.92 As.upf
W 183.84 W.upf
CELL_PARAMETERS angstrom
0.0000 2.4422 8.2718
1.6908 0.0000 8.2718
1.6908 2.4422 0.0000
ATOMIC_POSITIONS crystal
Tl 0.0000 0.0000 0.0000
As 0.2741 0.2741 0.7259
W 0.6611 0.6611 0.3389


## b
! TlAsW GGA-PBE optimized geometry; values from VASP
! Mass density in Mg/m³: 13.35
! Total magnetic moment in μB/f.u.: 0.0
&SYSTEM
  ibrav = 0, nat = 3, ntyp = 3
/
ATOMIC_SPECIES
Tl 204.38 Tl.upf
As 74.92 As.upf
W 183.84 W.upf
CELL_PARAMETERS angstrom
4.7812 0.0000 0.0000
-2.3906 4.1407 0.0000
0.0000 0.0000 2.9101
ATOMIC_POSITIONS crystal
Tl 0.0000 0.0000 0.0000
As 0.6667 0.3333 0.5000
W 0.3333 0.6667 0.5000


## c
! TlAsW GGA-PBE optimized geometry; values from VASP
! Mass density in Mg/m³: 11.67
! Total magnetic moment in μB/f.u.: 0.2
&SYSTEM
  ibrav = 0, nat = 3, ntyp = 3
/
ATOMIC_SPECIES
Tl 204.38 Tl.upf
As 74.92 As.upf
W 183.84 W.upf
CELL_PARAMETERS angstrom
0.0000 3.2057 3.2057
3.2057 0.0000 3.2057
3.2057 3.2057 0.0000
ATOMIC_POSITIONS crystal
Tl 0.0000 0.0000 0.0000
As 0.5000 0.5000 0.5000
W 0.2500 0.2500 0.2500


Which is most stable, and by how much? a, by 0.254 eV/atom.


## a
! YTlAs GGA-PBE optimized geometry; values from VASP
! Mass density in Mg/m³: 7.00
! Total magnetic moment in μB/f.u.: 0.0
&SYSTEM
  ibrav = 0, nat = 3, ntyp = 3
/
ATOMIC_SPECIES
Y 88.91 Y.upf
Tl 204.38 Tl.upf
As 74.92 As.upf
CELL_PARAMETERS angstrom
0.0000 3.5214 3.5214
3.5214 0.0000 3.5214
3.5214 3.5214 0.0000
ATOMIC_POSITIONS crystal
Y 0.0000 0.0000 0.0000
Tl 0.7500 0.7500 0.7500
As 0.2500 0.2500 0.2500


## b
! YTlAs GGA-PBE optimized geometry; values from VASP
! Mass density in Mg/m³: 6.26
! Total magnetic moment in μB/f.u.: 0.0
&SYSTEM
  ibrav = 0, nat = 6, ntyp = 3
/
ATOMIC_SPECIES
Y 88.91 Y.upf
Tl 204.38 Tl.upf
As 74.92 As.upf
CELL_PARAMETERS angstrom
5.4184 0.0000 0.0000
0.0000 5.4184 0.0000
0.0000 0.0000 6.6545
ATOMIC_POSITIONS crystal
Y 0.2500 0.7500 0.0000
Y 0.7500 0.2500 0.0000
Tl 0.2500 0.2500 0.4443
Tl 0.7500 0.7500 0.5557
As 0.2500 0.2500 0.8917
As 0.7500 0.7500 0.1083


## c
! YTlAs GGA-PBE optimized geometry; values from VASP
! Mass density in Mg/m³: 6.85
! Total magnetic moment in μB/f.u.: 0.0
&SYSTEM
  ibrav = 0, nat = 3, ntyp = 3
/
ATOMIC_SPECIES
Y 88.91 Y.upf
Tl 204.38 Tl.upf
As 74.92 As.upf
CELL_PARAMETERS angstrom
4.4451 0.0000 0.0000
-2.2226 3.8496 0.0000
0.0000 0.0000 5.2128
ATOMIC_POSITIONS crystal
Y 0.0000 0.0000 0.0000
Tl 0.3333 0.6667 0.5560
As 0.6667 0.3333 0.1899


## d
! YTlAs GGA-PBE optimized geometry; values from VASP
! Mass density in Mg/m³: 6.96
! Total magnetic moment in μB/f.u.: 0.0
&SYSTEM
  ibrav = 0, nat = 3, ntyp = 3
/
ATOMIC_SPECIES
Y 88.91 Y.upf
Tl 204.38 Tl.upf
As 74.92 As.upf
CELL_PARAMETERS angstrom
0.0000 3.5289 3.5289
3.5289 0.0000 3.5289
3.5289 3.5289 0.0000
ATOMIC_POSITIONS crystal
Y 0.0000 0.0000 0.0000
Tl 0.5000 0.5000 0.5000
As 0.7500 0.7500 0.7500


Which is most stable, and by how much? b, by 0.132 eV/atom.


## a
! YTlAs3 GGA-PBE optimized geometry; values from VASP
! Mass density in Mg/m³: 6.02
! Total magnetic moment in μB/f.u.: 0.0
&SYSTEM
  ibrav = 0, nat = 5, ntyp = 3
/
ATOMIC_SPECIES
Y 88.91 Y.upf
Tl 204.38 Tl.upf
As 74.92 As.upf
CELL_PARAMETERS angstrom
5.2270 0.0000 0.0000
0.0000 5.2270 0.0000
0.0000 0.0000 5.2270
ATOMIC_POSITIONS crystal
Y 0.0000 0.0000 0.0000
Tl 0.5000 0.5000 0.5000
As 0.0000 0.5000 0.5000
As 0.5000 0.0000 0.5000
As 0.5000 0.5000 0.0000


## b
! YTlAs3 GGA-PBE optimized geometry; values from VASP
! Mass density in Mg/m³: 5.24
! Total magnetic moment in μB/f.u.: 0.0
&SYSTEM
  ibrav = 0, nat = 5, ntyp = 3
/
ATOMIC_SPECIES
Y 88.91 Y.upf
Tl 204.38 Tl.upf
As 74.92 As.upf
CELL_PARAMETERS angstrom
5.4772 0.0000 0.0000
0.0000 5.4772 0.0000
0.0000 0.0000 5.4772
ATOMIC_POSITIONS crystal
Y 0.0000 0.0000 0.0000
Tl 0.5000 0.5000 0.5000
As 0.0000 0.0000 0.5000
As 0.0000 0.5000 0.0000
As 0.5000 0.0000 0.0000


Which is most stable, and by how much? b, by 0.363 eV/atom.


## a
! Y2TlAs GGA-PBE optimized geometry; values from VASP
! Mass density in Mg/m³: 7.26
! Total magnetic moment in μB/f.u.: 0.0
&SYSTEM
  ibrav = 0, nat = 4, ntyp = 3
/
ATOMIC_SPECIES
Y 88.91 Y.upf
Tl 204.38 Tl.upf
As 74.92 As.upf
CELL_PARAMETERS angstrom
0.0000 3.7392 3.7392
3.7392 0.0000 3.7392
3.7392 3.7392 0.0000
ATOMIC_POSITIONS crystal
Y 0.0000 0.0000 0.0000
Y 0.2500 0.2500 0.2500
Tl 0.7500 0.7500 0.7500
As 0.5000 0.5000 0.5000


## b
! Y2TlAs GGA-PBE optimized geometry; values from VASP
! Mass density in Mg/m³: 6.36
! Total magnetic moment in μB/f.u.: 1.1
&SYSTEM
  ibrav = 0, nat = 4, ntyp = 3
/
ATOMIC_SPECIES
Y 88.91 Y.upf
Tl 204.38 Tl.upf
As 74.92 As.upf
CELL_PARAMETERS angstrom
2.0032 1.1565 8.5909
-2.0032 1.1565 8.5909
0.0000 -2.3131 8.5909
ATOMIC_POSITIONS crystal
Y 0.0000 0.0000 0.0000
Y 0.2254 0.2254 0.2254
Tl 0.4638 0.4638 0.4638
As 0.7320 0.7320 0.7320


## c
! Y2TlAs GGA-PBE optimized geometry; values from VASP
! Mass density in Mg/m³: 6.80
! Total magnetic moment in μB/f.u.: 0.0
&SYSTEM
  ibrav = 0, nat = 4, ntyp = 3
/
ATOMIC_SPECIES
Y 88.91 Y.upf
Tl 204.38 Tl.upf
As 74.92 As.upf
CELL_PARAMETERS angstrom
1.9828 1.1448 8.1933
-1.9828 1.1448 8.1933
0.0000 -2.2896 8.1933
ATOMIC_POSITIONS crystal
Y 0.0000 0.0000 0.0000
Y 0.1962 0.1962 0.1962
Tl 0.7648 0.7648 0.7648
As 0.5970 0.5970 0.5970


## d
! Y2TlAs GGA-PBE optimized geometry; values from VASP
! Mass density in Mg/m³: 7.32
! Total magnetic moment in μB/f.u.: 0.0
&SYSTEM
  ibrav = 0, nat = 4, ntyp = 3
/
ATOMIC_SPECIES
Y 88.91 Y.upf
Tl 204.38 Tl.upf
As 74.92 As.upf
CELL_PARAMETERS angstrom
4.2495 0.0000 0.0000
0.0000 2.1533 5.6625
0.0000 -2.1533 5.6625
ATOMIC_POSITIONS crystal
Y 0.0000 0.0000 0.0000
Y 0.5000 0.2695 0.2695
Tl 0.0000 0.7294 0.7294
As 0.5000 0.5306 0.5306


Which is most stable, and by how much? c, by 0.124 eV/atom.